DFT (PBE) results for a relaxed CePuSbCl2 crystal.

Lattice parameters (Å, degrees): 7.9681 7.9681 8.9733 90.00 90.00 149.43
With the nearest neighbours (Å) after each atom.
Fractional coordinates of all 10 atoms:
Ce (0.2237, 0.7763, 0.7500)  6 Cl 2.98-3.03, 2 Sb 3.24
Ce (0.7763, 0.2237, 0.2500)  6 Cl 2.98-3.03, 2 Sb 3.24
Pu (0.0000, 0.0000, 0.0000)  2 Cl 2.83
Pu (0.0000, 0.0000, 0.5000)  2 Cl 2.83
Sb (0.4370, 0.5630, 0.2500)  4 Pu 3.22, 2 Ce 3.24
Sb (0.5630, 0.4370, 0.7500)  4 Pu 3.22, 2 Ce 3.24
Cl (0.1791, 0.8209, 0.0732)  1 Pu 2.83, 3 Ce 2.98-3.03
Cl (0.1791, 0.8209, 0.4268)  1 Pu 2.83, 3 Ce 2.98-3.03
Cl (0.8209, 0.1791, 0.5732)  1 Pu 2.83, 3 Ce 2.98-3.03
Cl (0.8209, 0.1791, 0.9268)  1 Pu 2.83, 3 Ce 2.98-3.03

Total energy in eV per atom: -7.011
Crystal system: orthorhombic
Symmetry: Cmcm

***

DFT (PBE) results for a relaxed CePuSbCl crystal.

Lattice parameters (Å, degrees): 5.3012 5.3012 5.3012 60.00 60.00 60.00
With the nearest neighbours (Å) after each atom.
Fractional coordinates of all 4 atoms:
Ce (0.0000, 0.0000, 0.0000)  4 Sb 3.25, 4 Cl 3.25
Pu (0.5000, 0.5000, 0.5000)  4 Sb 3.25, 4 Cl 3.25
Sb (0.7500, 0.7500, 0.7500)  4 Pu 3.25, 4 Ce 3.25
Cl (0.2500, 0.2500, 0.2500)  4 Pu 3.25, 4 Ce 3.25

Total energy in eV per atom: -7.557
Crystal system: cubic
Symmetry: F-43m

***

DFT (PBE) results for a relaxed CePuTeCl crystal.

Lattice parameters (Å, degrees): 5.2936 5.2936 5.2936 60.00 60.00 60.00
With the nearest neighbours (Å) after each atom.
Fractional coordinates of all 4 atoms:
Ce (0.0000, 0.0000, 0.0000)  4 Cl 3.24, 4 Te 3.24
Pu (0.5000, 0.5000, 0.5000)  4 Te 3.24, 4 Cl 3.24
Te (0.7500, 0.7500, 0.7500)  4 Pu 3.24, 4 Ce 3.24
Cl (0.2500, 0.2500, 0.2500)  4 Pu 3.24, 4 Ce 3.24

Total energy in eV per atom: -7.425
Crystal system: cubic
Symmetry: F-43m

***

DFT (PBE) results for a relaxed CePuTlCl6 crystal.

Lattice parameters (Å, degrees): 7.3397 7.3397 13.8435 90.00 90.00 120.00
With the nearest neighbours (Å) after each atom.
Fractional coordinates of all 18 atoms:
Ce (0.3333, 0.6667, 0.2500)  6 Cl 2.81
Ce (0.6667, 0.3333, 0.7500)  6 Cl 2.81
Pu (0.3333, 0.6667, 0.7500)  6 Cl 2.81
Pu (0.6667, 0.3333, 0.2500)  6 Cl 2.81
Tl (0.0000, 0.0000, 0.0000)  6 Cl 3.29
Tl (0.0000, 0.0000, 0.5000)  6 Cl 3.29
Cl (0.9997, 0.3662, 0.6370)  1 Ce 2.81, 1 Pu 2.81
Cl (0.0003, 0.3666, 0.1370)  1 Ce 2.81, 1 Pu 2.81
Cl (0.9997, 0.6334, 0.8630)  1 Ce 2.81, 1 Pu 2.81
Cl (0.0003, 0.6338, 0.3630)  1 Ce 2.81, 1 Pu 2.81
Cl (0.3662, 0.9997, 0.1370)  1 Ce 2.81, 1 Pu 2.81
Cl (0.3662, 0.3666, 0.3630)  1 Ce 2.81, 1 Pu 2.81
Cl (0.3666, 0.0003, 0.6370)  1 Ce 2.81, 1 Pu 2.81
Cl (0.3666, 0.3662, 0.8630)  1 Ce 2.81, 1 Pu 2.81
Cl (0.6334, 0.9997, 0.3630)  1 Ce 2.81, 1 Pu 2.81
Cl (0.6334, 0.6338, 0.1370)  1 Ce 2.81, 1 Pu 2.81
Cl (0.6338, 0.0003, 0.8630)  1 Ce 2.81, 1 Pu 2.81
Cl (0.6338, 0.6334, 0.6370)  1 Ce 2.81, 1 Pu 2.81

Total energy in eV per atom: -5.569
Crystal system: trigonal
Symmetry: P-31c

***

DFT (PBE) results for a relaxed RbCeCl6 crystal.

Lattice parameters (Å, degrees): 7.3917 7.3917 9.3082 90.00 90.00 90.00
With the nearest neighbours (Å) after each atom.
Fractional coordinates of all 16 atoms:
Rb (0.0000, 0.0000, 0.0000)  6 Cl 3.27-3.60
Rb (0.0000, 0.0000, 0.5000)  6 Cl 3.27-3.60
Ce (0.5000, 0.5000, 0.2500)  8 Cl 2.66-2.88
Ce (0.5000, 0.5000, 0.7500)  8 Cl 2.66-2.88
Cl (0.1987, 0.3245, 0.1796)  1 Ce 2.66
Cl (0.1987, 0.3245, 0.8204)  1 Ce 2.66
Cl (0.3017, 0.3829, 0.5000)  2 Ce 2.88, 2 Cl 3.11
Cl (0.3245, 0.8013, 0.3204)  1 Ce 2.66
Cl (0.3245, 0.8013, 0.6796)  1 Ce 2.66
Cl (0.3829, 0.6983, 0.0000)  2 Ce 2.88, 2 Cl 3.11
Cl (0.6171, 0.3017, 0.0000)  2 Ce 2.88, 2 Cl 3.11
Cl (0.6755, 0.1987, 0.3204)  1 Ce 2.66
Cl (0.6755, 0.1987, 0.6796)  1 Ce 2.66
Cl (0.6983, 0.6171, 0.5000)  2 Ce 2.88, 2 Cl 3.11
Cl (0.8013, 0.6755, 0.1796)  1 Ce 2.66
Cl (0.8013, 0.6755, 0.8204)  1 Ce 2.66

Total energy in eV per atom: -3.845
Crystal system: tetragonal
Symmetry: P4_2/m
ΔE to the lowest computed polymorph in eV/atom: 0.000

***

DFT (PBE) results for a relaxed Rb5Ce2Cl12 crystal.

Lattice parameters (Å, degrees): 9.4901 9.4901 8.1673 100.15 100.15 64.77
With the nearest neighbours (Å) after each atom.
Fractional coordinates of all 19 atoms:
Rb (0.0000, 0.0000, 0.0000)  6 Cl 3.22-3.30
Rb (0.2472, 0.2472, 0.4884)  6 Cl 3.28-3.47
Rb (0.3662, 0.3662, 0.9884)  4 Cl 3.20-3.49
Rb (0.6338, 0.6338, 0.0116)  4 Cl 3.20-3.49
Rb (0.7528, 0.7528, 0.5116)  6 Cl 3.28-3.47
Ce (0.2479, 0.7521, 0.5000)  8 Cl 2.73-3.02
Ce (0.7521, 0.2479, 0.5000)  8 Cl 2.73-3.02
Cl (0.0768, 0.0768, 0.6557)  2 Ce 2.97, 3 Cl 3.15-3.28, 2 Rb 3.30
Cl (0.1001, 0.6962, 0.7261)  1 Ce 2.75
Cl (0.1499, 0.5489, 0.2826)  1 Ce 2.73
Cl (0.3038, 0.8999, 0.2739)  1 Ce 2.75
Cl (0.4511, 0.8501, 0.7174)  1 Ce 2.73
Cl (0.4633, 0.4633, 0.6669)  2 Ce 3.02, 3 Cl 3.19-3.27, 1 Rb 3.32
Cl (0.5367, 0.5367, 0.3331)  2 Ce 3.02, 3 Cl 3.19-3.27, 1 Rb 3.32
Cl (0.5489, 0.1499, 0.2826)  1 Ce 2.73
Cl (0.6962, 0.1001, 0.7261)  1 Ce 2.75
Cl (0.8501, 0.4511, 0.7174)  1 Ce 2.73
Cl (0.8999, 0.3038, 0.2739)  1 Ce 2.75
Cl (0.9232, 0.9232, 0.3443)  2 Ce 2.97, 3 Cl 3.15-3.28, 2 Rb 3.30

Total energy in eV per atom: -4.068
Crystal system: monoclinic
Symmetry: C2/m

***

DFT (PBE) results for a relaxed RbCeCl2 crystal.

Lattice parameters (Å, degrees): 10.5187 10.5187 10.5187 21.69 21.69 21.69
With the nearest neighbours (Å) after each atom.
Fractional coordinates of all 4 atoms:
Rb (0.0000, 0.0000, 0.0000)  2 Cl 3.26
Ce (0.5000, 0.5000, 0.5000)  6 Cl 2.95
Cl (0.1059, 0.1059, 0.1059)  3 Ce 2.95, 1 Rb 3.26
Cl (0.8941, 0.8941, 0.8941)  3 Ce 2.95, 1 Rb 3.26

Total energy in eV per atom: -4.057
Crystal system: trigonal
Symmetry: R-3m

***

DFT (PBE) results for a relaxed RbCe3Cl8 crystal.

Lattice parameters (Å, degrees): 9.4827 9.4827 9.4827 49.86 49.86 49.86
With the nearest neighbours (Å) after each atom.
Fractional coordinates of all 12 atoms:
Rb (0.0000, 0.0000, 0.0000)  6 Cl 3.37
Ce (0.0000, 0.0000, 0.5000)  6 Cl 2.82-2.90
Ce (0.0000, 0.5000, 0.0000)  6 Cl 2.82-2.90
Ce (0.5000, 0.0000, 0.0000)  6 Cl 2.82-2.90
Cl (0.2270, 0.7359, 0.7359)  2 Ce 2.82
Cl (0.2370, 0.2370, 0.2370)  3 Ce 2.90
Cl (0.2641, 0.2641, 0.7730)  2 Ce 2.82
Cl (0.2641, 0.7730, 0.2641)  2 Ce 2.82
Cl (0.7359, 0.2270, 0.7359)  2 Ce 2.82
Cl (0.7359, 0.7359, 0.2270)  2 Ce 2.82
Cl (0.7630, 0.7630, 0.7630)  3 Ce 2.90
Cl (0.7730, 0.2641, 0.2641)  2 Ce 2.82

Total energy in eV per atom: -4.821
Crystal system: trigonal
Symmetry: R-3m

***

DFT (PBE) results for a relaxed RbCe2Cl8 crystal.

Lattice parameters (Å, degrees): 7.7611 7.7611 5.4991 95.12 95.12 112.51
With the nearest neighbours (Å) after each atom.
Fractional coordinates of all 11 atoms:
Rb (0.0000, 0.0000, 0.0000)  12 Cl 3.40-3.75
Ce (0.3210, 0.6790, 0.5000)  8 Cl 2.81-2.87
Ce (0.6790, 0.3210, 0.5000)  8 Cl 2.81-2.87
Cl (0.0527, 0.3290, 0.5712)  2 Ce 2.81-2.87
Cl (0.2633, 0.7367, 0.0000)  2 Ce 2.85
Cl (0.3290, 0.0527, 0.5712)  2 Ce 2.81-2.87
Cl (0.4038, 0.4038, 0.2262)  2 Ce 2.81
Cl (0.5962, 0.5962, 0.7738)  2 Ce 2.81
Cl (0.6710, 0.9473, 0.4288)  2 Ce 2.81-2.87
Cl (0.7367, 0.2633, 0.0000)  2 Ce 2.85
Cl (0.9473, 0.6710, 0.4288)  2 Ce 2.81-2.87

Total energy in eV per atom: -4.586
Crystal system: monoclinic
Symmetry: C2/m

***

DFT (PBE) results for a relaxed Rb2Ce3Cl8 crystal.

Lattice parameters (Å, degrees): 9.3455 9.3455 6.7626 102.45 102.45 51.76
With the nearest neighbours (Å) after each atom.
Fractional coordinates of all 13 atoms:
Rb (0.2359, 0.2359, 0.1700)  6 Cl 3.21-3.35
Rb (0.7641, 0.7641, 0.8300)  6 Cl 3.21-3.35
Ce (0.2741, 0.7259, 0.5000)  6 Cl 2.87-2.91
Ce (0.5000, 0.5000, 0.0000)  6 Cl 2.86-2.93
Ce (0.7259, 0.2741, 0.5000)  6 Cl 2.87-2.91
Cl (0.0958, 0.0958, 0.4205)  2 Ce 2.88, 1 Rb 3.21
Cl (0.1543, 0.6269, 0.1030)  2 Ce 2.86-2.87
Cl (0.3731, 0.8457, 0.8970)  2 Ce 2.86-2.87
Cl (0.3821, 0.3821, 0.6023)  3 Ce 2.91-2.93
Cl (0.6179, 0.6179, 0.3977)  3 Ce 2.91-2.93
Cl (0.6269, 0.1543, 0.1030)  2 Ce 2.86-2.87
Cl (0.8457, 0.3731, 0.8970)  2 Ce 2.86-2.87
Cl (0.9042, 0.9042, 0.5795)  2 Ce 2.88, 1 Rb 3.21

Total energy in eV per atom: -4.613
Crystal system: monoclinic
Symmetry: C2/m

***

DFT (PBE) results for a relaxed Rb3CeCl6 crystal.

Lattice parameters (Å, degrees): 8.2973 8.2973 8.2973 60.00 60.00 60.00
With the nearest neighbours (Å) after each atom.
Fractional coordinates of all 10 atoms:
Rb (0.0000, 0.0000, 0.0000)  6 Cl 3.12
Rb (0.2500, 0.2500, 0.2500)  12 Cl 4.15
Rb (0.7500, 0.7500, 0.7500)  12 Cl 4.15
Ce (0.5000, 0.5000, 0.5000)  6 Cl 2.75
Cl (0.2660, 0.2660, 0.7340)  1 Ce 2.75
Cl (0.2660, 0.7340, 0.2660)  1 Ce 2.75
Cl (0.2660, 0.7340, 0.7340)  1 Ce 2.75
Cl (0.7340, 0.2660, 0.2660)  1 Ce 2.75
Cl (0.7340, 0.2660, 0.7340)  1 Ce 2.75
Cl (0.7340, 0.7340, 0.2660)  1 Ce 2.75

Total energy in eV per atom: -4.018
Crystal system: cubic
Symmetry: Fm-3m
ΔE to the lowest computed polymorph in eV/atom: 0.072

***

DFT (PBE) results for a relaxed Rb3CeCl8 crystal.

Lattice parameters (Å, degrees): 9.1037 9.1037 9.1037 131.61 131.61 70.85
With the nearest neighbours (Å) after each atom.
Fractional coordinates of all 12 atoms:
Rb (0.0000, 0.0000, 0.0000)  8 Cl 3.40
Rb (0.2500, 0.7500, 0.5000)  8 Cl 3.38
Rb (0.7500, 0.2500, 0.5000)  8 Cl 3.38
Ce (0.5000, 0.5000, 0.0000)  8 Cl 2.80
Cl (0.1744, 0.1744, 0.5672)  1 Ce 2.80
Cl (0.1744, 0.6073, 0.0000)  1 Ce 2.80
Cl (0.3927, 0.3927, 0.5672)  1 Ce 2.80
Cl (0.3927, 0.8256, 0.0000)  1 Ce 2.80
Cl (0.6073, 0.1744, 0.0000)  1 Ce 2.80
Cl (0.6073, 0.6073, 0.4328)  1 Ce 2.80
Cl (0.8256, 0.3927, 0.0000)  1 Ce 2.80
Cl (0.8256, 0.8256, 0.4328)  1 Ce 2.80

Total energy in eV per atom: -3.699
Crystal system: tetragonal
Symmetry: I4/mmm
ΔE to the lowest computed polymorph in eV/atom: 0.000

***

| no. | formation energy (no corrections) (eV/atom) |
| --- | --- |
| 1 | -1.394 |
| 2 | -0.999 |
| 3 | -1.111 |
| 4 | -1.824 |
| 5 | -1.597 |
| 6 | -2.023 |
| 7 | -1.409 |
| 8 | -2.026 |
| 9 | -2.076 |
| 10 | -1.959 |
| 11 | -2.026 |
| 12 | -1.732 |